Model a:
A plane-wave DFT calculation with PBE-GGA was carried out for crystalline Pu2ZrSc at its relaxed geometry.

DOS at the Fermi energy (states/eV/cell): 12.531
Space group: No. 123
Spin magnetization (μB/f.u.): 11.368

a b c (Å): 3.2012 3.2012 9.5059
angles (deg): 90.00 90.00 90.00
Last column: magnetic moment on the atom in μB.
Fractional positions:
Pu 0.0000 0.0000 0.2449  5.31
Pu 0.0000 0.0000 0.7551  5.31
Zr 0.5000 0.5000 0.0000  -0.11
Sc 0.5000 0.5000 0.5000  0.15

Model b:
A plane-wave DFT calculation with PBE-GGA was carried out for crystalline Pu2ZrSc at its relaxed geometry.

DOS at the Fermi energy (states/eV/cell): 16.384
Space group: No. 166
Spin magnetization (μB/f.u.): 10.961

a b c (Å): 3.2174 3.2174 11.4141
angles (deg): 81.90 81.90 60.00
Last column: magnetic moment on the atom in μB.
Fractional positions:
Zr 0.5000 0.5000 0.5000  -0.12
Pu 0.9129 0.9129 0.2613  5.42
Pu 0.0871 0.0871 0.7387  5.42
Sc 0.0000 0.0000 0.0000  -0.09

Stability summary - winner: model a; margin: 155 meV per atom.

Model a:
A plane-wave DFT calculation with PBE-GGA was carried out for crystalline PuZrSc3 at its relaxed geometry.

DOS at the Fermi energy (states/eV/cell): 43.174
Space group: No. 57
Spin magnetization (μB/f.u.): 5.279

a b c (Å): 6.1926 5.2738 14.6264
angles (deg): 90.00 90.00 90.00
Last column: magnetic moment on the atom in μB.
Fractional positions:
Zr 0.5000 0.7500 0.8502  0.12
Zr 0.5000 0.2500 0.1498  0.12
Zr 0.0000 0.2500 0.1498  0.12
Zr 0.0000 0.7500 0.8502  0.12
Pu 0.7500 0.7333 0.6498  -5.33
Pu 0.2500 0.7667 0.6498  -5.33
Pu 0.7500 0.2333 0.3502  -5.33
Pu 0.2500 0.2667 0.3502  -5.33
Sc 0.7500 0.2294 0.7561  0.06
Sc 0.2500 0.2706 0.7561  0.06
Sc 0.0000 0.7500 0.4421  0.01
Sc 0.0000 0.2500 0.5579  0.01
Sc 0.2500 0.7706 0.2439  0.06
Sc 0.7500 0.7892 0.0464  0.02
Sc 0.2500 0.2108 0.9536  0.02
Sc 0.5000 0.2500 0.5579  0.01
Sc 0.5000 0.7500 0.4421  0.01
Sc 0.2500 0.7108 0.0464  0.02
Sc 0.7500 0.7294 0.2439  0.06
Sc 0.7500 0.2892 0.9536  0.02

Model b:
A plane-wave DFT calculation with PBE-GGA was carried out for crystalline PuZrSc3 at its relaxed geometry.

DOS at the Fermi energy (states/eV/cell): 12.318
Space group: No. 38
Spin magnetization (μB/f.u.): 5.332

a b c (Å): 2.9555 11.3847 11.3847
angles (deg): 152.59 90.00 90.00
Last column: magnetic moment on the atom in μB.
Fractional positions:
Pu 0.0000 0.3560 0.6440  5.85
Sc 0.0000 0.2187 0.7813  -0.09
Sc 0.5000 0.2255 0.2731  -0.22
Sc 0.5000 0.7269 0.7745  -0.22
Zr 0.5000 0.1011 0.8989  -0.27

Stability summary - winner: model a; margin: 1070 meV per atom.